No. 1
# ZnTe2N, relaxed, DFT GGA-PBEsol
data_ZnTe2N
_space_group_name_H-M_alt 'P 1'
_space_group_IT_number 1
_cell_length_a 4.671
_cell_length_b 4.671
_cell_length_c 4.671
_cell_angle_alpha 60.00
_cell_angle_beta 60.00
_cell_angle_gamma 60.00
loop_
_space_group_symop_operation_xyz
'x,y,z'
loop_
_atom_site_label
_atom_site_type_symbol
_atom_site_fract_x
_atom_site_fract_y
_atom_site_fract_z
Zn1 Zn 0.000 0.000 0.000
Te1 Te 0.250 0.250 0.250
Te2 Te 0.750 0.750 0.750
N1 N 0.500 0.500 0.500
# **E above lowest polymorph**: 50.46 kJ/mol of atoms
# **Density**: 7.7 g/cm³
# **ΔE_f (raw)**: 1.0824 eV per atom



No. 2
# Zr3V3C, relaxed, DFT GGA-PBEsol
data_Zr3V3C
_space_group_name_H-M_alt 'P 1'
_space_group_IT_number 1
_cell_length_a 8.551
_cell_length_b 8.551
_cell_length_c 8.551
_cell_angle_alpha 60.00
_cell_angle_beta 60.00
_cell_angle_gamma 60.00
loop_
_space_group_symop_operation_xyz
'x,y,z'
loop_
_atom_site_label
_atom_site_type_symbol
_atom_site_fract_x
_atom_site_fract_y
_atom_site_fract_z
Zr1 Zr 0.066 0.066 0.684
Zr2 Zr 0.066 0.684 0.066
Zr3 Zr 0.066 0.684 0.684
Zr4 Zr 0.316 0.316 0.934
Zr5 Zr 0.316 0.934 0.316
Zr6 Zr 0.316 0.934 0.934
Zr7 Zr 0.684 0.066 0.066
Zr8 Zr 0.684 0.066 0.684
Zr9 Zr 0.684 0.684 0.066
Zr10 Zr 0.934 0.316 0.316
Zr11 Zr 0.934 0.316 0.934
Zr12 Zr 0.934 0.934 0.316
V1 V 0.000 0.500 0.500
V2 V 0.299 0.299 0.299
V3 V 0.299 0.299 0.604
V4 V 0.299 0.604 0.299
V5 V 0.396 0.701 0.701
V6 V 0.500 0.000 0.500
V7 V 0.500 0.500 0.000
V8 V 0.500 0.500 0.500
V9 V 0.604 0.299 0.299
V10 V 0.701 0.396 0.701
V11 V 0.701 0.701 0.396
V12 V 0.701 0.701 0.701
C1 C 0.000 0.000 0.000
C2 C 0.000 0.000 0.500
C3 C 0.000 0.500 0.000
C4 C 0.500 0.000 0.000
# **Density**: 6.6 g/cm³
# **VASP energy**: -9.62 eV/atom



No. 3
# ZrAsRhF2, relaxed, DFT GGA-PBEsol
data_ZrAsRhF2
_space_group_name_H-M_alt 'P 1'
_space_group_IT_number 1
_cell_length_a 3.879
_cell_length_b 3.879
_cell_length_c 5.821
_cell_angle_alpha 90.00
_cell_angle_beta 90.00
_cell_angle_gamma 90.00
loop_
_space_group_symop_operation_xyz
'x,y,z'
loop_
_atom_site_label
_atom_site_type_symbol
_atom_site_fract_x
_atom_site_fract_y
_atom_site_fract_z
Zr1 Zr 0.000 0.000 0.000
As1 As 0.000 0.000 0.500
Rh1 Rh 0.500 0.500 0.000
F1 F 0.000 0.500 0.500
F2 F 0.500 0.000 0.500
# **Density**: 5.8 g/cm³
# **ΔE_f (raw)**: -0.6120 eV per atom



No. 4
# TlAuBr2, relaxed, DFT GGA-PBEsol
data_TlAuBr2
_space_group_name_H-M_alt 'P 1'
_space_group_IT_number 1
_cell_length_a 7.399
_cell_length_b 7.399
_cell_length_c 7.399
_cell_angle_alpha 33.51
_cell_angle_beta 33.51
_cell_angle_gamma 33.51
loop_
_space_group_symop_operation_xyz
'x,y,z'
loop_
_atom_site_label
_atom_site_type_symbol
_atom_site_fract_x
_atom_site_fract_y
_atom_site_fract_z
Tl1 Tl 0.000 0.000 0.000
Au1 Au 0.500 0.500 0.500
Br1 Br 0.234 0.234 0.234
Br2 Br 0.766 0.766 0.766
# **E above lowest polymorph**: 9.09 kJ/mol of atoms
# **Density**: 8.5 g/cm³
# **ΔE_f (raw)**: -0.2319 eV per atom



No. 5
# LiTeP2S, relaxed, DFT GGA-PBEsol
data_LiTeP2S
_space_group_name_H-M_alt 'P 1'
_space_group_IT_number 1
_cell_length_a 4.548
_cell_length_b 4.548
_cell_length_c 4.195
_cell_angle_alpha 90.00
_cell_angle_beta 90.00
_cell_angle_gamma 90.00
loop_
_space_group_symop_operation_xyz
'x,y,z'
loop_
_atom_site_label
_atom_site_type_symbol
_atom_site_fract_x
_atom_site_fract_y
_atom_site_fract_z
Li1 Li 0.000 0.000 0.000
Te1 Te 0.500 0.500 0.500
P1 P 0.000 0.500 0.000
P2 P 0.500 0.000 0.000
S1 S 0.000 0.000 0.500
# **Density**: 4.4 g/cm³
# **ΔE_f (raw)**: 0.6203 eV per atom



No. 6
# LiFe2P, relaxed, DFT GGA-PBEsol
data_LiFe2P
_space_group_name_H-M_alt 'P 1'
_space_group_IT_number 1
_cell_length_a 2.680
_cell_length_b 2.680
_cell_length_c 6.636
_cell_angle_alpha 90.00
_cell_angle_beta 90.00
_cell_angle_gamma 90.00
loop_
_space_group_symop_operation_xyz
'x,y,z'
loop_
_atom_site_label
_atom_site_type_symbol
_atom_site_fract_x
_atom_site_fract_y
_atom_site_fract_z
Li1 Li 0.000 0.000 0.000
Fe1 Fe 0.000 0.000 0.440
Fe2 Fe 0.500 0.500 0.691
P1 P 0.500 0.500 0.265
# **Density**: 5.2 g/cm³
# **VASP energy**: -6.54 eV/atom



No. 7
# YWBrO4, relaxed, DFT GGA-PBEsol
data_YWBrO4
_space_group_name_H-M_alt 'P 1'
_space_group_IT_number 1
_cell_length_a 6.903
_cell_length_b 7.246
_cell_length_c 10.833
_cell_angle_alpha 74.50
_cell_angle_beta 71.80
_cell_angle_gamma 85.27
loop_
_space_group_symop_operation_xyz
'x,y,z'
loop_
_atom_site_label
_atom_site_type_symbol
_atom_site_fract_x
_atom_site_fract_y
_atom_site_fract_z
Y1 Y 0.069 0.102 0.270
Y2 Y 0.393 0.665 0.234
Y3 Y 0.607 0.335 0.766
Y4 Y 0.931 0.898 0.730
W1 W 0.133 0.415 0.623
W2 W 0.408 0.815 0.868
W3 W 0.592 0.185 0.132
W4 W 0.867 0.585 0.377
Br1 Br 0.210 0.276 0.985
Br2 Br 0.255 0.026 0.482
Br3 Br 0.745 0.974 0.518
Br4 Br 0.790 0.724 0.015
O1 O 0.031 0.607 0.696
O2 O 0.052 0.783 0.293
O3 O 0.206 0.503 0.443
O4 O 0.206 0.886 0.797
O5 O 0.302 0.737 0.045
O6 O 0.362 0.349 0.665
O7 O 0.409 0.989 0.189
O8 O 0.453 0.373 0.199
O9 O 0.547 0.627 0.801
O10 O 0.591 0.011 0.811
O11 O 0.638 0.651 0.335
O12 O 0.698 0.263 0.955
O13 O 0.794 0.114 0.203
O14 O 0.794 0.497 0.557
O15 O 0.948 0.217 0.707
O16 O 0.969 0.393 0.304
# **Density**: 5.6 g/cm³
# **ΔE_f (raw)**: -2.4886 eV per atom



No. 8
# Rb3Tm, relaxed, DFT GGA-PBEsol
data_Rb3Tm
_space_group_name_H-M_alt 'P 1'
_space_group_IT_number 1
_cell_length_a 6.206
_cell_length_b 6.206
_cell_length_c 6.206
_cell_angle_alpha 90.00
_cell_angle_beta 90.00
_cell_angle_gamma 90.00
loop_
_space_group_symop_operation_xyz
'x,y,z'
loop_
_atom_site_label
_atom_site_type_symbol
_atom_site_fract_x
_atom_site_fract_y
_atom_site_fract_z
Rb1 Rb 0.000 0.000 0.500
Rb2 Rb 0.000 0.500 0.000
Rb3 Rb 0.500 0.000 0.000
Tm1 Tm 0.500 0.500 0.500
# **Density**: 3.0 g/cm³
# **VASP energy**: -1.34 eV/atom



No. 9
# CdP2, relaxed, DFT GGA-PBEsol
data_CdP2
_space_group_name_H-M_alt 'P 1'
_space_group_IT_number 1
_cell_length_a 9.869
_cell_length_b 5.382
_cell_length_c 5.151
_cell_angle_alpha 90.00
_cell_angle_beta 90.00
_cell_angle_gamma 90.00
loop_
_space_group_symop_operation_xyz
'x,y,z'
loop_
_atom_site_label
_atom_site_type_symbol
_atom_site_fract_x
_atom_site_fract_y
_atom_site_fract_z
Cd1 Cd 0.153 0.101 0.000
Cd2 Cd 0.347 0.601 0.500
Cd3 Cd 0.653 0.399 0.000
Cd4 Cd 0.847 0.899 0.500
P1 P 0.006 0.729 0.850
P2 P 0.121 0.440 0.655
P3 P 0.379 0.940 0.155
P4 P 0.494 0.229 0.350
P5 P 0.506 0.771 0.850
P6 P 0.621 0.060 0.655
P7 P 0.879 0.560 0.155
P8 P 0.994 0.271 0.350
# **Density**: 4.2 g/cm³
# **VASP energy**: -4.35 eV/atom



No. 10
# AlRuC2, relaxed, DFT GGA-PBEsol
data_AlRuC2
_space_group_name_H-M_alt 'P 1'
_space_group_IT_number 1
_cell_length_a 5.592
_cell_length_b 5.592
_cell_length_c 5.592
_cell_angle_alpha 131.52
_cell_angle_beta 131.52
_cell_angle_gamma 70.99
loop_
_space_group_symop_operation_xyz
'x,y,z'
loop_
_atom_site_label
_atom_site_type_symbol
_atom_site_fract_x
_atom_site_fract_y
_atom_site_fract_z
Al1 Al 0.000 0.000 0.000
Al2 Al 0.750 0.250 0.500
Ru1 Ru 0.250 0.750 0.500
Ru2 Ru 0.500 0.500 0.000
C1 C 0.144 0.625 0.019
C2 C 0.375 0.394 0.519
C3 C 0.606 0.125 0.981
C4 C 0.875 0.856 0.481
# **Density**: 5.3 g/cm³
# **VASP energy**: -7.84 eV/atom



No. 11
# Al2ZnIr2, relaxed, DFT GGA-PBEsol
data_Al2ZnIr2
_space_group_name_H-M_alt 'P 1'
_space_group_IT_number 1
_cell_length_a 7.079
_cell_length_b 7.079
_cell_length_c 2.906
_cell_angle_alpha 90.00
_cell_angle_beta 90.00
_cell_angle_gamma 90.00
loop_
_space_group_symop_operation_xyz
'x,y,z'
loop_
_atom_site_label
_atom_site_type_symbol
_atom_site_fract_x
_atom_site_fract_y
_atom_site_fract_z
Al1 Al 0.144 0.356 0.000
Al2 Al 0.356 0.856 0.000
Al3 Al 0.644 0.144 0.000
Al4 Al 0.856 0.644 0.000
Zn1 Zn 0.000 0.000 0.500
Zn2 Zn 0.500 0.500 0.500
Ir1 Ir 0.153 0.653 0.500
Ir2 Ir 0.347 0.153 0.500
Ir3 Ir 0.653 0.847 0.500
Ir4 Ir 0.847 0.347 0.500
# **Density**: 11.5 g/cm³
# **VASP energy**: -6.50 eV/atom



No. 12
# LaNi2BiO, relaxed, DFT GGA-PBEsol
data_LaNi2BiO
_space_group_name_H-M_alt 'P 1'
_space_group_IT_number 1
_cell_length_a 4.956
_cell_length_b 4.956
_cell_length_c 4.129
_cell_angle_alpha 90.00
_cell_angle_beta 90.00
_cell_angle_gamma 90.00
loop_
_space_group_symop_operation_xyz
'x,y,z'
loop_
_atom_site_label
_atom_site_type_symbol
_atom_site_fract_x
_atom_site_fract_y
_atom_site_fract_z
La1 La 0.000 0.000 0.000
Ni1 Ni 0.000 0.500 0.000
Ni2 Ni 0.500 0.000 0.000
Bi1 Bi 0.500 0.500 0.500
O1 O 0.000 0.000 0.500
# **Density**: 7.9 g/cm³
# **ΔE_f (raw)**: 0.1227 eV per atom